This record from OQMD via LeMat-Bulk describes a relaxed structure of YAgSn2. The functional is GGA-PBE.

Computed properties:
As for the total energy: -4.524 eV per atom.

a = 5.197 Å, b = 5.197 Å, c = 5.197 Å
α = 60.00°, β = 60.00°, γ = 60.00°
Sites, in units of the cell vectors:
1 Y 0.000 0.000 0.000
2 Ag 0.250 0.250 0.250
3 Sn 0.500 0.500 0.500
4 Sn 0.750 0.750 0.750